DFT (PBE-GGA) results for a relaxed structure of GaCoMoRu.

Structure (extended XYZ):
```
4
Lattice="4.2786 0.0000 0.0000 2.1393 3.7054 0.0000 2.1393 1.2351 3.4935" Properties=species:S:1:pos:R:3 pbc="T T T"
Ga 0.0000 0.0000 0.0000
Mo 4.2786 2.4703 1.7467
Ru 6.4180 3.7054 2.6201
Co 2.1393 1.2351 0.8734
```

Properties
D(E_F) = 1.53 states/eV/f.u.
SG = F-43m
calculated total energy = -7.6541 eV per atom
DFT formation energy = -0.094 eV/atom

=====

DFT (PBE-GGA) results for a relaxed structure of GaCoSiMo2.

Structure (extended XYZ):
```
5
Lattice="-3.4876 3.0916 -0.0124 -1.3633 -1.5230 3.7286 2.7065 3.0622 2.2404" Properties=species:S:1:pos:R:3 pbc="T T T"
Mo -1.7438 1.5458 -0.0062
Mo 1.3533 1.5311 1.1202
Si -0.6816 -0.7615 1.8643
Co -1.0722 2.3154 2.9783
Ga 0.0000 0.0000 0.0000
```

Properties
D(E_F) = 6.90 states/eV/f.u.
SG = P4/mmm
calculated total energy = -5.6864 eV per atom

=====

DFT (PBE-GGA) results for a relaxed structure of VGa2Co5Mo2.

Structure (extended XYZ):
```
20
Lattice="2.8008 0.0000 0.0000 0.0000 9.5665 0.0000 0.0000 0.0000 9.5665" Properties=species:S:1:pos:R:3 pbc="T T T"
Co 1.4004 9.3178 1.8799
Co 1.4004 5.0319 6.6631
Co 1.4004 2.9033 5.0319
Co 1.4004 0.2487 7.6866
Co 1.4004 6.6631 4.5346
Co 1.4004 0.0000 4.7832
Co 1.4004 4.5346 2.9033
Co 1.4004 7.6866 9.3178
Co 1.4004 4.7832 0.0000
Co 1.4004 1.8799 0.2487
V 0.0000 0.0000 0.0000
V 0.0000 4.7832 4.7832
Ga 0.0000 1.3168 6.1000
Ga 0.0000 6.1000 8.2497
Ga 0.0000 8.2497 3.4665
Ga 0.0000 3.4665 1.3168
Mo 0.0000 1.6515 3.1317
Mo 0.0000 6.4348 1.6515
Mo 0.0000 3.1317 7.9149
Mo 0.0000 7.9149 6.4348
```

Properties
D(E_F) = 9.22 states/eV/f.u.
SG = P4/mbm
calculated total energy = -7.1657 eV per atom
DFT formation energy = 0.071 eV/atom

=====

Q: The highest calculated total energy belongs to which entry?
A: GaCoSiMo2